Run w
A relaxed BeNb2Ga2 crystal, computed with PBE-GGA.

Cell lengths 6.257, 6.257, 3.982 Å; angles 90.00, 90.00, 90.00 degrees
Element x y z (fractional)
1 Be 0.000 0.000 0.000
2 Be 0.500 0.500 0.000
3 Nb 0.173 0.327 0.500
4 Nb 0.327 0.827 0.500
5 Nb 0.673 0.173 0.500
6 Nb 0.827 0.673 0.500
7 Ga 0.137 0.637 0.000
8 Ga 0.363 0.137 0.000
9 Ga 0.637 0.863 0.000
10 Ga 0.863 0.363 0.000

Output
The calculation puts the density of states at the Fermi level at 3.14 states/eV/f.u.

Run x
A relaxed BeNb2Ga2 crystal, computed with PBE-GGA.

Cell lengths 6.434, 6.434, 4.053 Å; angles 90.00, 90.00, 90.00 degrees
Element x y z (fractional)
1 Be 0.000 0.000 0.000
2 Be 0.500 0.500 0.000
3 Nb 0.160 0.340 0.000
4 Nb 0.340 0.840 0.000
5 Nb 0.660 0.160 0.000
6 Nb 0.840 0.660 0.000
7 Ga 0.150 0.650 0.500
8 Ga 0.350 0.150 0.500
9 Ga 0.650 0.850 0.500
10 Ga 0.850 0.350 0.500

Output
The calculation puts the density of states at the Fermi level at 2.90 states/eV/f.u.

The structure with the least stability is run x.

Run w
A relaxed BeNbGa3 crystal, computed with PBE-GGA.

Cell lengths 4.349, 4.349, 4.349 Å; angles 90.00, 90.00, 90.00 degrees
Element x y z (fractional)
1 Be 0.000 0.000 0.000
2 Nb 0.500 0.500 0.500
3 Ga 0.000 0.000 0.500
4 Ga 0.000 0.500 0.000
5 Ga 0.500 0.000 0.000

Output
The calculation puts the density of states at the Fermi level at 5.92 states/eV/f.u.

Run x
A relaxed BeNbGa3 crystal, computed with PBE-GGA.

Cell lengths 5.036, 5.036, 5.036 Å; angles 90.00, 90.00, 90.00 degrees
Element x y z (fractional)
1 Be 0.000 0.000 0.000
2 Nb 0.500 0.500 0.500
3 Ga 0.000 0.500 0.500
4 Ga 0.500 0.000 0.500
5 Ga 0.500 0.500 0.000

Output
The calculation puts the density of states at the Fermi level at 5.18 states/eV/f.u.

The structure with the least stability is run x.

Run w
A relaxed NdBeGa crystal, computed with PBE-GGA.

Cell lengths 4.263, 4.263, 7.738 Å; angles 90.00, 90.00, 120.00 degrees
Element x y z (fractional)
1 Nd 0.000 0.000 0.000
2 Nd 0.000 0.000 0.500
3 Be 0.333 0.667 0.250
4 Be 0.667 0.333 0.750
5 Ga 0.333 0.667 0.750
6 Ga 0.667 0.333 0.250

Output
The calculation puts the density of states at the Fermi level at 2.06 states/eV/f.u.

Run x
A relaxed NdBeGa crystal, computed with PBE-GGA.

Cell lengths 4.269, 4.269, 3.852 Å; angles 90.00, 90.00, 120.00 degrees
Element x y z (fractional)
1 Nd 0.000 0.000 0.000
2 Be 0.333 0.667 0.500
3 Ga 0.667 0.333 0.500

Output
The calculation puts the density of states at the Fermi level at 2.33 states/eV/f.u.

The structure with the least stability is run x.